LiCuSiAu after structural relaxation. Source: OQMD via LeMat-Bulk, functional PBE.

The structure in POSCAR format:
```
LiCuSiAu
1.0
0.000 3.020 3.020
3.020 0.000 3.020
3.020 3.020 0.000
Au Cu Li Si
1 1 1 1
direct
0.500 0.500 0.500
0.000 0.000 0.000
0.750 0.750 0.750
0.250 0.250 0.250
```

Calculated values
- Energy above the lowest structure with this stoichiometry: 0.00 eV/f.u.
- Space group: F-43m (216)
- E: -3.828 eV per atom
- Volume: 13.8 Å³/atom

***

LiCuSnAu after structural relaxation. Source: OQMD via LeMat-Bulk, functional PBE.

The structure in POSCAR format:
```
LiCuSnAu
1.0
0.808 -4.445 -0.620
1.313 -2.591 3.515
-2.856 -3.101 1.739
Au Cu Li Sn
1 1 1 1
direct
0.500 0.500 0.500
0.000 0.000 0.000
0.750 0.750 0.750
0.250 0.250 0.250
```

Calculated values
- Energy above the lowest structure with this stoichiometry: 0.00 eV/f.u.
- Space group: F-43m (216)
- E: -3.491 eV per atom
- Volume: 16.8 Å³/atom